1.
Here is Na3In2Ag3F12 after structural relaxation from OQMD. Energies are from GGA-PBE.

```
Na3In2Ag3F12
1.0
-6.497 6.497 6.497
6.497 -6.497 6.497
6.497 6.497 -6.497
Ag F In Na
12 48 8 12
Cartesian
-3.248 4.873 6.497
1.624 0.000 9.745
0.000 3.248 4.873
6.497 -3.248 4.873
4.873 0.000 3.248
3.248 1.624 6.497
3.248 4.873 0.000
1.624 6.497 3.248
0.000 9.745 1.624
6.497 3.248 1.624
4.873 6.497 -3.248
9.745 1.624 0.000
-0.333 1.032 1.778
4.280 -3.582 7.967
-1.032 1.778 6.164
-1.471 2.217 10.079
-2.217 3.582 7.967
0.333 1.032 8.275
1.778 -0.333 1.032
2.915 -1.471 8.714
1.778 0.333 5.465
3.582 -1.471 4.280
1.032 1.778 -0.333
-1.471 4.280 3.582
1.471 2.217 3.582
5.465 -1.778 6.164
-3.582 7.967 4.280
-1.778 6.164 5.465
3.582 1.471 2.217
4.719 0.333 7.528
6.164 -1.032 1.778
2.217 2.915 7.967
1.032 4.719 6.164
7.967 -2.217 3.582
0.333 5.465 1.778
2.217 3.582 1.471
4.280 2.915 5.026
6.164 1.032 4.719
-1.471 8.714 2.915
5.465 1.778 0.333
4.280 3.582 -1.471
0.333 7.528 4.719
1.778 6.164 -1.032
2.915 5.026 4.280
8.275 0.333 1.032
10.079 -1.471 2.217
1.032 8.275 0.333
5.026 4.280 2.915
7.967 2.217 2.915
5.465 4.719 6.830
2.915 7.967 2.217
4.719 6.164 1.032
3.582 7.967 -2.217
4.719 6.830 5.465
6.164 5.465 -1.778
8.714 2.915 -1.471
7.967 4.280 -3.582
7.528 4.719 0.333
2.217 10.079 -1.471
6.830 5.465 4.719
0.000 0.000 0.000
-3.248 3.248 3.248
3.248 -3.248 3.248
0.000 0.000 6.497
3.248 3.248 -3.248
0.000 6.497 0.000
6.497 0.000 0.000
3.248 3.248 3.248
1.624 0.000 3.248
3.248 -1.624 6.497
0.000 3.248 1.624
0.000 3.248 8.121
-1.624 6.497 3.248
3.248 1.624 0.000
3.248 4.873 6.497
8.121 0.000 3.248
6.497 3.248 -1.624
6.497 3.248 4.873
3.248 8.121 0.000
4.873 6.497 3.248
```

Output
Electronic total energy: -4.0372 eV/atom

2.
Here is In2AgPdF6 after structural relaxation from OQMD. Energies are from GGA-PBE.

```
In2AgPdF6
1.0
-2.988 2.988 4.332
2.988 -2.988 4.332
2.988 2.988 -4.332
Ag F In Pd
1 6 2 1
Cartesian
0.000 0.000 4.332
0.000 0.000 2.084
0.000 0.000 6.580
1.897 -1.241 4.332
1.747 1.091 0.000
1.241 1.897 4.332
1.091 4.229 0.000
0.000 2.988 2.166
2.988 0.000 2.166
0.000 0.000 0.000
```

Output
Electronic total energy: -3.8426 eV/atom

3.
Here is Tl2InAgF6 after structural relaxation from OQMD. Energies are from GGA-PBE.

```
Tl2InAgF6
1.0
3.143 1.815 4.550
-3.143 1.815 4.550
0.000 -3.630 4.550
Ag F In Tl
1 6 1 2
Cartesian
0.000 0.000 7.084
-1.459 1.383 5.722
0.567 2.130 7.806
1.927 0.572 5.722
-2.128 -0.574 7.806
-0.468 -1.955 5.722
1.561 -1.556 7.806
0.000 0.000 0.046
0.000 0.000 3.612
0.000 0.000 10.128
```

Output
Electronic total energy: -4.0500 eV/atom

4.
Here is Ag2IrF6 after structural relaxation from OQMD. Energies are from GGA-PBE.

```
Ag2IrF6
1.0
5.005 0.000 0.000
0.000 5.005 0.000
0.000 0.000 10.590
Ag F Ir
4 12 2
Cartesian
2.502 2.502 1.757
0.000 0.000 3.538
0.000 0.000 7.052
2.502 2.502 8.833
3.619 1.386 0.000
1.386 3.619 0.000
0.900 0.900 1.512
4.105 4.105 1.512
3.402 1.602 3.783
1.602 3.402 3.783
1.117 1.117 5.295
3.888 3.888 5.295
3.402 1.602 6.808
1.602 3.402 6.808
0.900 0.900 9.078
4.105 4.105 9.078
0.000 0.000 0.000
2.502 2.502 5.295
```

Output
Electronic total energy: -4.1380 eV/atom

5.
Here is AgIrF7 after structural relaxation from OQMD. Energies are from GGA-PBE.

```
AgIrF7
1.0
-4.267 1.544 5.529
-5.324 -2.728 -3.347
2.001 -8.818 4.006
Ag F Ir
4 28 4
Cartesian
-1.502 -2.566 0.972
-3.597 -1.963 3.813
-3.993 -8.040 2.376
-6.088 -7.437 5.217
-1.575 -0.638 -0.484
-3.345 0.409 4.216
-5.421 -0.655 2.911
-5.590 -2.489 0.391
-2.779 -1.364 2.023
-3.073 -3.085 -0.523
-5.048 -4.097 -1.764
-4.982 -3.303 2.691
-6.956 -4.315 1.450
-4.508 -2.374 5.597
-7.228 -3.903 4.149
-0.481 -3.584 2.915
-2.557 -4.648 1.610
-2.730 -4.179 4.240
-4.860 -5.824 1.949
-5.033 -5.355 4.579
-7.109 -6.419 3.274
-0.363 -6.100 2.040
-3.082 -7.629 0.592
-0.634 -5.688 4.738
-2.608 -6.700 3.497
-2.542 -5.906 7.953
-4.517 -6.918 6.712
-4.811 -8.639 4.166
-2.000 -7.514 5.797
-2.169 -9.348 3.278
-4.245 -10.412 1.973
-6.015 -9.365 6.673
-4.672 -2.307 -1.218
-6.055 -4.842 3.049
-1.535 -5.161 3.140
-2.918 -7.697 7.407
```

Output
Electronic total energy: -4.0701 eV/atom

6.
Here is K2AgIrF6 after structural relaxation from OQMD. Energies are from GGA-PBE.

```
K2AgIrF6
1.0
-2.371 -4.237 3.525
-5.596 -1.932 -0.979
-0.933 -5.520 -2.157
Ag F Ir K
1 6 1 2
Cartesian
-4.450 -5.845 0.194
-3.353 -4.997 1.951
-5.054 -3.780 -0.425
-6.305 -6.016 1.434
-2.595 -5.674 -1.047
-3.846 -7.909 0.813
-5.547 -6.693 -1.563
0.000 0.000 0.000
-2.225 -2.922 0.097
-6.675 -8.767 0.291
```

Output
Electronic total energy: -4.3587 eV/atom

7.
Here is K3AgF6 after structural relaxation from OQMD. Energies are from GGA-PBE.

```
K3AgF6
1.0
6.045 0.000 0.000
0.000 6.380 0.000
-5.941 0.000 8.513
Ag F K
2 12 6
Cartesian
0.000 0.000 0.000
-2.971 3.190 4.257
1.706 1.149 0.413
1.055 4.620 0.595
-0.683 0.339 1.910
3.757 3.529 2.347
2.019 1.430 3.662
1.368 4.339 3.843
-1.264 2.041 4.670
-1.916 4.950 4.852
-3.653 2.851 6.166
0.786 6.041 6.603
-0.951 1.760 7.918
-1.603 5.232 8.100
3.022 3.190 0.000
2.924 5.988 2.108
0.150 2.798 2.149
0.052 0.000 4.257
-0.046 3.582 6.364
-2.821 0.392 6.406
```

Output
Electronic total energy: -3.8066 eV/atom

8.
Here is K3AgF6 after structural relaxation from OQMD. Energies are from GGA-PBE.

```
K3AgF6
1.0
3.410 3.945 3.247
-2.496 3.074 4.696
1.616 -1.362 5.768
Ag F K
1 6 3
Cartesian
0.000 0.000 0.000
2.400 3.420 4.945
-0.725 2.959 5.712
1.079 5.047 7.431
1.451 0.611 6.280
3.255 2.699 7.998
0.130 2.238 8.765
0.632 1.414 3.428
1.265 2.829 6.855
1.897 4.243 10.283
```

Output
Electronic total energy: -3.7294 eV/atom

9.
Here is KAgF5 after structural relaxation from OQMD. Energies are from GGA-PBE.

```
KAgF5
1.0
4.356 -2.857 0.000
4.356 2.857 0.000
-3.591 0.000 7.560
Ag F K
2 10 2
Cartesian
0.000 0.000 0.000
-1.796 0.000 3.780
5.329 -1.234 0.430
5.617 1.666 0.851
3.458 -2.745 1.890
1.300 1.666 2.929
1.587 -1.234 3.350
3.534 1.234 4.210
3.821 -1.666 4.631
1.663 2.745 5.670
-0.496 -1.666 6.709
-0.208 1.234 7.130
3.458 0.050 1.890
1.663 -0.050 5.670
```

Output
Electronic total energy: -3.3243 eV/atom

10.
Here is K2AgF4 after structural relaxation from OQMD. Energies are from GGA-PBE.

```
K2AgF4
1.0
3.636 0.000 0.034
0.000 9.915 0.000
-0.132 0.000 6.278
Ag F K
2 8 4
Cartesian
0.000 0.000 0.000
-0.066 4.957 3.139
0.050 1.946 0.807
1.487 9.370 1.438
2.083 4.413 1.735
3.520 6.904 2.366
-0.016 3.011 3.946
1.421 5.501 4.577
2.017 0.544 4.873
3.454 7.968 5.505
1.738 6.733 0.539
1.832 1.775 2.634
1.672 8.139 3.678
1.766 3.182 5.773
```

Output
Electronic total energy: -3.8389 eV/atom

11.
Here is KAg2F after structural relaxation from OQMD. Energies are from GGA-PBE.

```
KAg2F
1.0
-4.316 1.449 3.674
-0.789 5.177 2.607
-4.328 3.804 -1.009
Ag F K
2 1 1
Cartesian
-1.395 1.543 0.780
-8.038 8.887 4.492
0.000 0.000 0.000
-4.717 5.215 2.636
```

Output
Electronic total energy: -2.4536 eV/atom

12.
Here is K2AgF4 after structural relaxation from OQMD. Energies are from GGA-PBE.

```
K2AgF4
1.0
1.827 4.005 -5.354
-4.891 0.900 4.828
4.186 3.009 3.679
Ag F K
2 8 4
Cartesian
-1.532 2.452 -0.263
2.093 1.504 1.840
-0.087 3.199 -1.717
0.115 1.902 1.039
-1.416 4.354 0.776
-1.968 2.709 4.673
3.090 5.204 -1.519
2.539 3.559 2.378
1.007 6.012 2.115
1.209 4.714 4.871
-3.834 1.414 3.466
1.418 4.327 0.039
-0.296 3.586 3.115
4.956 6.500 -0.312
```

Output
Electronic total energy: -3.8558 eV/atom